No. 1
Sr2SnPbN: optimized geometry, PBE.

Values from the calculation:
DFT total energy = -4.28 eV per atom
formation energy from raw total energies = -0.405 eV per atom
offset from the most stable computed form = 0.00 eV/f.u.

a b c (Å): 5.296 5.296 4.748
angles (deg): 90.00 90.00 90.00
Sites, in units of the cell vectors:
Sn 0.000 0.000 0.500
Sr 0.000 0.500 0.000
Sr 0.500 0.000 0.000
Pb 0.500 0.500 0.500
N 0.000 0.000 0.000


No. 2
SrCdAsH: optimized geometry, PBE.

Values from the calculation:
DFT total energy = -3.28 eV per atom

a b c (Å): 4.477 4.477 10.388
angles (deg): 90.00 90.00 120.00
Sites, in units of the cell vectors:
As 0.333 0.667 0.243
Sr 0.667 0.333 0.422
H 0.000 0.000 0.982
As 0.667 0.333 0.743
Cd 0.000 0.000 0.665
Cd 0.000 0.000 0.165
Sr 0.333 0.667 0.922
H 0.000 0.000 0.482


No. 3
Ac2Pr8Dy: optimized geometry, PBE.

Values from the calculation:
DFT total energy = -4.49 eV per atom
ΔH_f (0 K) = 152 meV per atom
offset from the most stable computed form = 0.00 eV/f.u.

a b c (Å): 8.850 10.479 10.479
angles (deg): 39.70 45.74 45.74
Sites, in units of the cell vectors:
Ac 0.364 0.169 0.169
Pr 0.225 0.727 0.727
Dy 0.000 0.000 0.000
Pr 0.775 0.273 0.273
Ac 0.636 0.831 0.831
Pr 0.743 0.622 0.622
Pr 0.218 0.332 0.789
Pr 0.782 0.211 0.668
Pr 0.218 0.789 0.332
Pr 0.782 0.668 0.211
Pr 0.257 0.378 0.378


No. 4
ZnCoCl2: optimized geometry, PBE.

Values from the calculation:
DFT total energy = -3.31 eV per atom
formation energy from raw total energies = -0.288 eV per atom
offset from the most stable computed form = 0.21 eV/f.u.

a b c (Å): 3.203 3.677 7.289
angles (deg): 79.33 90.00 90.00
Last column: magnetic moment on the atom in μB.
Sites, in units of the cell vectors:
Cl 0.000 0.075 0.887  -0.01
Co 0.000 0.292 0.579  1.21
Cl 0.500 0.382 0.354  0.08
Zn 0.500 0.751 0.681  -0.07


No. 5
ThZrWC3: optimized geometry, PBE.

Values from the calculation:
DFT total energy = -9.49 eV per atom
ΔH_f (0 K) = -60 meV per atom

a b c (Å): 3.496 7.281 8.011
angles (deg): 99.55 90.00 90.00
Sites, in units of the cell vectors:
C 0.750 0.418 0.142
C 0.750 0.876 0.149
C 0.250 0.820 0.510
Th 0.750 0.826 0.815
C 0.750 0.180 0.490
C 0.250 0.582 0.858
Th 0.250 0.174 0.185
Zr 0.250 0.637 0.135
Zr 0.750 0.363 0.865
W 0.250 0.114 0.600
C 0.250 0.124 0.851
W 0.750 0.886 0.400


No. 6
Ti4Co2C: optimized geometry, PBE.

Values from the calculation:
DFT total energy = -8.36 eV per atom
ΔH_f (0 K) = -504 meV per atom

a b c (Å): 8.028 8.028 8.028
angles (deg): 60.00 60.00 60.00
Sites, in units of the cell vectors:
Co 0.833 0.500 0.833
Co 0.833 0.833 0.500
C 0.125 0.625 0.125
Co 0.750 0.417 0.417
Co 0.417 0.417 0.417
C 0.125 0.125 0.125
Co 0.417 0.750 0.417
Ti 0.437 0.063 0.063
Co 0.500 0.833 0.833
Ti 0.187 0.187 0.813
Ti 0.063 0.437 0.437
Ti 0.125 0.625 0.625
Ti 0.437 0.063 0.437
Ti 0.063 0.437 0.063
Ti 0.437 0.437 0.063
Ti 0.813 0.187 0.187
Co 0.417 0.417 0.750
Co 0.833 0.833 0.833
Ti 0.625 0.125 0.625
Ti 0.813 0.813 0.187
Ti 0.187 0.813 0.187
Ti 0.625 0.625 0.125
C 0.125 0.125 0.625
C 0.625 0.125 0.125
Ti 0.063 0.063 0.437
Ti 0.813 0.187 0.813
Ti 0.625 0.625 0.625
Ti 0.187 0.813 0.813


No. 7
MgZnS2: optimized geometry, PBE.

Values from the calculation:
DFT total energy = -3.28 eV per atom
formation energy from raw total energies = -0.496 eV per atom

a b c (Å): 8.817 8.817 5.233
angles (deg): 90.00 90.00 155.27
Sites, in units of the cell vectors:
S 0.799 0.201 0.750
Zn 0.330 0.670 0.250
S 0.075 0.925 0.750
Zn 0.670 0.330 0.750
Mg 0.932 0.068 0.750
S 0.201 0.799 0.250
Mg 0.068 0.932 0.250
S 0.925 0.075 0.250


No. 8
GaSn3Au4: optimized geometry, PBE.

Values from the calculation:
DFT total energy = -3.67 eV per atom
ΔH_f (0 K) = -149 meV per atom

a b c (Å): 7.017 6.454 8.597
angles (deg): 90.00 90.00 115.29
Sites, in units of the cell vectors:
Sn 0.750 0.000 0.401
Sn 0.250 0.500 0.903
Au 0.464 0.702 0.619
Ga 0.750 0.000 0.819
Au 0.536 0.298 0.381
Sn 0.250 0.000 0.599
Au 0.963 0.173 0.104
Ga 0.250 0.000 0.181
Au 0.537 0.827 0.104
Au 0.037 0.827 0.896
Sn 0.750 0.500 0.097
Sn 0.750 0.500 0.681
Au 0.463 0.173 0.896
Sn 0.250 0.500 0.319
Au 0.036 0.298 0.619
Au 0.964 0.702 0.381


No. 9
Pr5NdAu6: optimized geometry, PBE.

Values from the calculation:
DFT total energy = -4.78 eV per atom
ΔH_f (0 K) = -748 meV per atom

a b c (Å): 5.313 7.423 8.422
angles (deg): 90.00 108.94 90.01
Sites, in units of the cell vectors:
Nd 0.000 0.000 0.000
Au 0.835 0.249 0.669
Au 0.835 0.751 0.669
Pr 0.667 0.500 0.334
Pr 0.000 0.500 0.000
Pr 0.666 0.000 0.333
Au 0.165 0.751 0.331
Pr 0.334 0.000 0.667
Au 0.500 0.247 0.000
Pr 0.333 0.500 0.666
Au 0.165 0.249 0.331
Au 0.500 0.753 0.000


No. 10
Be2GeF: optimized geometry, PBE.

Values from the calculation:
DFT total energy = -3.38 eV per atom
formation energy from raw total energies = 0.102 eV per atom
offset from the most stable computed form = 2.11 eV/f.u.

a b c (Å): 4.078 4.078 4.078
angles (deg): 60.00 60.00 60.00
Sites, in units of the cell vectors:
Ge 0.500 0.500 0.500
Be 0.750 0.750 0.750
Be 0.250 0.250 0.250
F 0.000 0.000 0.000


No. 11
PaPtAu: optimized geometry, PBE.

Values from the calculation:
DFT total energy = -6.95 eV per atom
ΔH_f (0 K) = -678 meV per atom
offset from the most stable computed form = 0.05 eV/f.u.

a b c (Å): 3.097 4.741 4.741
angles (deg): 120.00 90.00 90.00
Last column: magnetic moment on the atom in μB.
Sites, in units of the cell vectors:
Au 0.167 0.667 0.333  0.00
Pt 0.167 0.000 0.000  0.02
Pa 0.667 0.333 0.667  0.46


No. 12
Dy4PuTe6: optimized geometry, PBE.

Values from the calculation:
DFT total energy = -5.98 eV per atom
formation energy from raw total energies = -1.289 eV per atom

a b c (Å): 4.319 7.457 22.285
angles (deg): 90.00 90.00 106.83
Last column: magnetic moment on the atom in μB.
Sites, in units of the cell vectors:
Te 0.232 0.464 0.592  -0.01
Te 0.768 0.536 0.408  -0.01
Dy 0.587 0.175 0.873  0.02
Te 0.768 0.536 0.092  -0.01
Te 0.680 0.359 0.750  -0.04
Te 0.320 0.641 0.250  -0.04
Dy 0.413 0.825 0.127  0.02
Te 0.052 0.105 0.336  -0.03
Te 0.948 0.895 0.664  -0.03
Te 0.500 0.000 0.000  0.00
Te 0.232 0.464 0.908  -0.01
Pu 0.343 0.685 0.750  5.53
Pu 0.657 0.315 0.250  5.53
Dy 0.413 0.825 0.373  0.02
Dy 0.857 0.714 0.537  0.00
Dy 0.857 0.714 0.963  0.00
Te 0.052 0.105 0.164  -0.03
Dy 0.587 0.175 0.627  0.02
Te 0.948 0.895 0.836  -0.03
Dy 0.143 0.286 0.037  0.00
Dy 0.143 0.286 0.463  0.00
Te 0.500 0.000 0.500  0.00


- DFT total energy of number 1 (Sr2SnPbN)?
  -4.28 eV per atom